A plane-wave DFT calculation with PBE-GGA was carried out for a relaxed Dy4HoTm2 crystal.

Unit cell a=3.5482 b=3.5485 c=19.8038 alpha=89.99 beta=90.00 gamma=120.00
Fractional coordinates of all 7 atoms:
Tm (0.7154, 0.4308, 0.0968)
Tm (0.7142, 0.4285, 0.3807)
Ho (0.7136, 0.4272, 0.6656)
Dy (0.0486, 0.0971, 0.9546)
Dy (0.3803, 0.7606, 0.5230)
Dy (0.0483, 0.0966, 0.2381)
Dy (0.3810, 0.7620, 0.8092)

## Properties
Energy relative to the lowest polymorph listed for this composition (eV per formula unit): 0.00
Space-group type: Cm (8)
Formation energy from the elements (eV/atom): 0.0068


A plane-wave DFT calculation with PBE-GGA was carried out for a relaxed MnCd2Br crystal.

Unit cell a=6.4312 b=6.4312 c=6.4312 alpha=143.01 beta=143.01 gamma=53.31
Each line ends with the local moment (μB).
Fractional coordinates of all 4 atoms:
Br (0.7500, 0.2500, 0.5000)  0.06
Cd (0.0000, 0.0000, 0.0000)  0.00
Cd (0.5000, 0.5000, 0.0000)  0.00
Mn (0.2500, 0.7500, 0.5000)  4.18

## Properties
Energy relative to the lowest polymorph listed for this composition (eV per formula unit): 0.90
Formation energy without anion corrections (eV/f.u.): 0.949
Space-group type: I4/mmm (139)


A plane-wave DFT calculation with PBE-GGA was carried out for a relaxed NdSmDyY crystal.

Unit cell a=5.1106 b=5.1116 c=6.2346 alpha=114.20 beta=114.20 gamma=90.00
Fractional coordinates of all 4 atoms:
Nd (0.1956, 0.6956, 0.3912)
Sm (0.9455, 0.9455, 0.8910)
Dy (0.4455, 0.4455, 0.8911)
Y (0.6955, 0.1955, 0.3911)

## Properties
Energy relative to the lowest polymorph listed for this composition (eV per formula unit): 0.00
Space-group type: I-4m2 (119)
Formation energy from the elements (eV/atom): 0.0174


A plane-wave DFT calculation with PBE-GGA was carried out for a relaxed In2SiBr crystal.

Unit cell a=3.4183 b=5.5421 c=5.2779 alpha=90.00 beta=90.00 gamma=90.00
Fractional coordinates of all 4 atoms:
Br (0.0000, 0.5000, 0.5000)
In (0.0000, 0.0000, 0.0000)
In (0.5000, 0.5000, 0.0000)
Si (0.5000, 0.0000, 0.5000)

## Properties
Energy relative to the lowest polymorph listed for this composition (eV per formula unit): 1.20
Formation energy without anion corrections (eV/f.u.): 1.008
Space-group type: Pmmm (47)


A plane-wave DFT calculation with PBE-GGA was carried out for a relaxed CaSmNi2H8 crystal.

Unit cell a=4.5881 b=4.5881 c=6.6857 alpha=69.93 beta=69.93 gamma=60.00
Fractional coordinates of all 12 atoms:
Ca (0.0000, 0.0000, 0.0000)
Sm (0.5000, 0.5000, 0.5000)
Ni (0.2322, 0.2322, 0.3033)
Ni (0.7678, 0.7678, 0.6967)
H (0.1459, 0.1459, 0.5622)
H (0.4477, 0.4473, 0.1809)
H (0.8541, 0.8541, 0.4378)
H (0.9241, 0.4477, 0.1809)
H (0.0759, 0.5523, 0.8191)
H (0.4473, 0.9241, 0.1809)
H (0.5527, 0.0759, 0.8191)
H (0.5523, 0.5527, 0.8191)

## Properties
Space-group type: R-3m (166)
Energy (eV per cell): -47.9


A plane-wave DFT calculation with PBE-GGA was carried out for a relaxed TlZn2Ga10 crystal.

Unit cell a=5.7477 b=7.2448 c=7.2886 alpha=81.00 beta=66.78 gamma=66.63
Fractional coordinates of all 13 atoms:
Tl (0.0000, 0.0000, 0.0000)
Zn (0.0000, 0.5000, 0.0000)
Zn (0.5000, 0.5000, 0.0000)
Ga (0.3526, 0.6447, 0.6501)
Ga (0.6474, 0.3553, 0.3499)
Ga (0.9973, 0.3553, 0.6501)
Ga (0.0027, 0.6447, 0.3499)
Ga (0.0000, 0.0000, 0.5000)
Ga (0.5000, 0.0000, 0.5000)
Ga (0.2828, 0.2209, 0.2134)
Ga (0.7172, 0.7791, 0.7866)
Ga (0.5037, 0.7791, 0.2134)
Ga (0.4963, 0.2209, 0.7866)

## Properties
Space-group type: Fmmm (69)
Formation energy from the elements (eV/atom): 0.0484


A plane-wave DFT calculation with PBE-GGA was carried out for a relaxed LiRe3 crystal.

Unit cell a=4.8426 b=4.8426 c=2.6914 alpha=90.00 beta=90.00 gamma=113.63
Fractional coordinates of all 4 atoms:
Li (0.0000, 0.0000, 0.0000)
Re (0.0000, 0.5000, 0.5000)
Re (0.5000, 0.0000, 0.5000)
Re (0.5000, 0.5000, 0.0000)

## Properties
Energy relative to the lowest polymorph listed for this composition (eV per formula unit): 0.73
Space-group type: Cmmm (65)
Formation energy from the elements (eV/atom): 0.3692


A plane-wave DFT calculation with PBE-GGA was carried out for a relaxed MgVCrPt2 crystal.

Unit cell a=4.5811 b=4.6373 c=4.5811 alpha=90.00 beta=90.00 gamma=90.00
Each line ends with the local moment (μB).
Fractional coordinates of all 5 atoms:
Cr (0.0000, 0.0000, 0.0000)  -0.37
Mg (0.0000, 0.5000, 0.0000)  0.00
Pt (0.0000, 0.0000, 0.5000)  -0.04
Pt (0.5000, 0.0000, 0.0000)  -0.02
V (0.5000, 0.5000, 0.5000)  2.71

## Properties
Space-group type: P4/mmm (123)
Formation energy from the elements (eV/atom): 0.8500


A plane-wave DFT calculation with PBE-GGA was carried out for a relaxed Dy2RhS crystal.

Unit cell a=3.5889 b=3.5889 c=8.7536 alpha=78.17 beta=78.17 gamma=60.00
Fractional coordinates of all 4 atoms:
S (0.5000, 0.5000, 0.5000)
Rh (0.0000, 0.0000, 0.0000)
Dy (0.0984, 0.0984, 0.7049)
Dy (0.9016, 0.9016, 0.2951)

## Properties
Energy relative to the lowest polymorph listed for this composition (eV per formula unit): 2.96
Formation energy without anion corrections (eV/f.u.): -2.678
Space-group type: R-3m (166)


A plane-wave DFT calculation with PBE-GGA was carried out for a relaxed WS4N2 crystal.

Unit cell a=7.2654 b=11.5142 c=9.7042 alpha=90.00 beta=90.00 gamma=90.00
Fractional coordinates of all 28 atoms:
W (0.2500, 0.9436, 0.4208)
W (0.2500, 0.4436, 0.0792)
W (0.7500, 0.0564, 0.5792)
W (0.7500, 0.5564, 0.9208)
S (0.4695, 0.8121, 0.4399)
S (0.0305, 0.3121, 0.0601)
S (0.9695, 0.1879, 0.5601)
S (0.5305, 0.6879, 0.9399)
S (0.5305, 0.1879, 0.5601)
S (0.9695, 0.6879, 0.9399)
S (0.0305, 0.8121, 0.4399)
S (0.4695, 0.3121, 0.0601)
S (0.2500, 0.0823, 0.5999)
S (0.2500, 0.5823, 0.9001)
S (0.7500, 0.9177, 0.4001)
S (0.7500, 0.4177, 0.0999)
S (0.2500, 0.5271, 0.4204)
S (0.2500, 0.0271, 0.0796)
S (0.7500, 0.4729, 0.5796)
S (0.7500, 0.9729, 0.9204)
N (0.2500, 0.5093, 0.2478)
N (0.2500, 0.0093, 0.2522)
N (0.7500, 0.4907, 0.7522)
N (0.7500, 0.9907, 0.7478)
N (0.2500, 0.4214, 0.5065)
N (0.2500, 0.9214, 0.9935)
N (0.7500, 0.5786, 0.4935)
N (0.7500, 0.0786, 0.0065)

## Properties
Formation energy without anion corrections (eV/f.u.): 2.494
Space-group type: Pnma (62)


A plane-wave DFT calculation with PBE-GGA was carried out for a relaxed Sm2SnBr8 crystal.

Unit cell a=8.1745 b=7.8976 c=8.4832 alpha=89.05 beta=90.84 gamma=120.23
Fractional coordinates of all 11 atoms:
Br (0.8233, 0.2324, 0.1024)
Br (0.3180, 0.2861, 0.2012)
Br (0.1767, 0.7676, 0.8976)
Br (0.2450, 0.6906, 0.4231)
Br (0.6820, 0.7139, 0.7988)
Br (0.8320, 0.8384, 0.3383)
Br (0.1680, 0.1616, 0.6617)
Br (0.7550, 0.3094, 0.5769)
Sn (0.0000, 0.0000, 0.0000)
Sm (0.9736, 0.7237, 0.6180)
Sm (0.0264, 0.2763, 0.3820)

## Properties
Formation energy without anion corrections (eV/f.u.): -16.837
Space-group type: P-1 (2)


A plane-wave DFT calculation with PBE-GGA was carried out for a relaxed Ba2CuOs crystal.

Unit cell a=3.7352 b=3.7352 c=9.8148 alpha=67.65 beta=67.65 gamma=90.08
Each line ends with the local moment (μB).
Fractional coordinates of all 4 atoms:
Ba (0.9831, 0.9831, 0.0164)  -0.01
Ba (0.5169, 0.5169, 0.4836)  -0.01
Cu (0.7500, 0.7500, 0.7500)  0.00
Os (0.2500, 0.2500, 0.2500)  0.57

## Properties
Energy relative to the lowest polymorph listed for this composition (eV per formula unit): 1.08
Space-group type: Cmmm (65)
Formation energy from the elements (eV/atom): 0.6684


- What is the formula in the fourth record?
  In2SiBr